Below is La2PtCl after structural relaxation, with properties calculated at the PBE-GGA level.

Cell and atoms, written as POSCAR:
```
La2PtCl
1.0
8.162 0.034 -0.007
6.328 5.155 0.007
-7.256 -2.563 2.719
Cl La Pt
1 2 1
direct
0.295 0.795 0.500 Cl
0.691 0.191 0.500 La
0.966 0.966 0.000 La
0.548 0.548 0.000 Pt
```

Values from the calculation:
DOS(E_F) in states/eV/cell: 3.0
Theoretical density in Mg/m³: 7.4
Distance to the lowest polymorph of the same formula in meV/atom: 167

=====

Below is La2PtCl after structural relaxation, with properties calculated at the PBE-GGA level.

Cell and atoms, written as POSCAR:
```
La2PtCl
1.0
-2.830 1.212 -1.962
-0.708 -3.468 -1.121
-5.007 -1.130 6.525
Cl La Pt
1 2 1
direct
0.500 0.750 0.750 Cl
0.000 0.748 0.460 La
0.000 0.752 0.040 La
0.500 0.250 0.250 Pt
```

Values from the calculation:
DOS(E_F) in states/eV/cell: 3.7
Theoretical density in Mg/m³: 7.5
Distance to the lowest polymorph of the same formula in meV/atom: 146

=====

Below is La6Pt2Cl after structural relaxation, with properties calculated at the PBE-GGA level.

Cell and atoms, written as POSCAR:
```
La6Pt2Cl
1.0
6.902 0.000 -0.031
0.000 7.534 0.000
0.306 0.000 10.703
La Cl Pt
12 2 4
direct
0.333 0.542 0.255 La
0.847 0.685 0.076 La
0.653 0.185 0.424 La
0.825 0.662 0.428 La
0.675 0.162 0.072 La
0.833 0.958 0.755 La
0.667 0.458 0.745 La
0.347 0.815 0.576 La
0.325 0.838 0.928 La
0.175 0.338 0.572 La
0.167 0.042 0.245 La
0.153 0.315 0.924 La
0.500 0.500 0.000 Cl
0.000 0.000 0.500 Cl
0.067 0.624 0.759 Pt
0.433 0.124 0.741 Pt
0.567 0.876 0.259 Pt
0.933 0.376 0.241 Pt
```

Values from the calculation:
DOS(E_F) in states/eV/cell: 22.0
Theoretical density in Mg/m³: 7.5
Calculated total energy in eV per atom: -5.730

=====

Below is LaPtCl2 after structural relaxation, with properties calculated at the PBE-GGA level.

Cell and atoms, written as POSCAR:
```
LaPtCl2
1.0
-1.892 1.117 3.419
-2.227 -3.398 -0.124
3.908 -2.672 3.036
Pt La Cl
1 1 2
direct
0.500 0.500 0.733 Pt
0.000 0.000 0.509 La
0.000 0.000 0.993 Cl
0.500 0.500 0.266 Cl
```

Values from the calculation:
DOS(E_F) in states/eV/cell: 1.9
Theoretical density in Mg/m³: 7.2
Distance to the lowest polymorph of the same formula in meV/atom: 71

=====

Below is La2PtCl after structural relaxation, with properties calculated at the PBE-GGA level.

Cell and atoms, written as POSCAR:
```
La2PtCl
1.0
-0.383 5.309 3.625
-1.627 2.340 5.775
4.119 -0.685 1.438
Cl Pt La
1 1 2
direct
0.248 0.248 0.125 Cl
0.493 0.493 0.625 Pt
0.005 0.005 0.125 La
0.754 0.754 0.625 La
```

Values from the calculation:
DOS(E_F) in states/eV/cell: 3.3
Theoretical density in Mg/m³: 8.0
Distance to the lowest polymorph of the same formula in meV/atom: 158

=====

Below is La2Pt2Cl after structural relaxation, with properties calculated at the PBE-GGA level.

Cell and atoms, written as POSCAR:
```
La2Pt2Cl
1.0
-4.528 -2.001 1.967
-1.230 -1.942 -4.806
-0.498 -6.257 -0.297
Pt La Cl
2 2 1
direct
0.370 0.370 0.260 Pt
0.630 0.630 0.740 Pt
0.750 0.250 0.500 La
0.250 0.750 0.500 La
0.000 0.000 0.000 Cl
```

Values from the calculation:
DOS(E_F) in states/eV/cell: 3.5
Theoretical density in Mg/m³: 8.2
Distance to the lowest polymorph of the same formula in meV/atom: 294